Record 1
A plane-wave DFT calculation with PBE was carried out for crystalline Ta2Ge2Te at its relaxed geometry.

Results
Raw total energy ... -6.9727 eV/atom
Total moment ... 0.000 μB/atom

abc: 4.8299 4.8299 8.7701
angles: 90.00 90.00 90.00
With the nearest neighbours (Å) after each atom.
Space group I4/mmm (No. 139)
Unique sites:
Ta: 0.0000 0.5000 0.2500 [4 per cell]  4 Ge 2.62
Ge: 0.0000 0.0000 0.1356 [4 per cell]  1 Ge 2.38, 4 Ta 2.62
Te: 0.0000 0.0000 0.5000 [2 per cell]  2 Ge 3.20, 8 Ta 3.26

Record 2
A plane-wave DFT calculation with PBE was carried out for crystalline Zr3BiB2 at its relaxed geometry.

Results
Raw total energy ... -7.6960 eV/atom
Total moment ... 0.000 μB/atom

abc: 3.5210 3.5210 20.4391
angles: 90.00 90.00 120.00
With the nearest neighbours (Å) after each atom.
Space group P6_3/mmc (No. 194)
Unique sites:
Zr: 0.0000 0.0000 0.0000 [2 per cell]  6 B 2.51
Zr: 0.3333 0.6667 0.1310 [4 per cell]  3 B 2.37
Bi: 0.0000 0.0000 0.2500 [2 per cell]  6 Zr 3.17, 6 Bi 3.52
B: 0.3333 0.6667 0.5718 [4 per cell]  6 Zr 2.37-2.51

Record 3
A plane-wave DFT calculation with PBE was carried out for crystalline CoMoOs2 at its relaxed geometry.

Results
Formation enthalpy at 0 K ... -20 meV/atom
Raw total energy ... -10.1218 eV/atom
Total moment ... 0.006 μB/atom

abc: 4.2927 5.4513 9.4064
angles: 90.00 90.00 90.00
With the nearest neighbours (Å) after each atom.
Space group Amm2 (No. 38)
Unique sites:
Co: 0.0000 0.2471 0.0000 [4 per cell]  6 Os 2.63-2.74, 4 Mo 2.65-2.78, 2 Co 2.69-2.76
Mo: 0.0000 0.0000 0.7564 [2 per cell]  4 Co 2.66-2.78, 8 Os 2.67-2.73
Mo: 0.5000 0.0000 0.4238 [2 per cell]  4 Co 2.65, 8 Os 2.65-2.78
Os: 0.0000 0.0000 0.2537 [2 per cell]  4 Os 2.67, 4 Mo 2.68-2.73, 4 Co 2.70-2.74
Os: 0.5000 0.0000 0.9257 [2 per cell]  4 Co 2.63, 4 Os 2.63-2.80, 4 Mo 2.67-2.73
Os: 0.5000 0.2494 0.1655 [4 per cell]  6 Os 2.63-2.80, 2 Co 2.65, 4 Mo 2.65-2.78